Entry from the Alexandria database: crystalline NdEu2Lu at its relaxed geometry (PBE).

Output
For the formation energy, the calculation gives 10.8 kJ/mol of atoms. Its space-group type is P4/mmm, No. 123.

Unit cell a=3.660 b=3.660 c=10.651 alpha=90.00 beta=90.00 gamma=90.00
Fractional positions:
1 Eu 0.000 0.000 0.758
2 Eu 0.000 0.000 0.242
3 Lu 0.500 0.500 0.000
4 Nd 0.500 0.500 0.500

=====

Entry from the Alexandria database: crystalline CdAg2Sb at its relaxed geometry (PBE).

Output
Its space-group type is C2/m, No. 12. The value obtained for the uncorrected formation energy is 5.8 kJ per mole of atoms.

Unit cell a=4.977 b=4.977 c=5.676 alpha=80.15 beta=80.15 gamma=38.51
Fractional positions:
1 Ag 0.003 0.003 0.980
2 Ag 0.497 0.497 0.520
3 Cd 0.750 0.750 0.750
4 Sb 0.250 0.250 0.250

=====

Entry from the Alexandria database: crystalline PmCdHgSb at its relaxed geometry (PBE).

Output
Its space-group type is F-43m, No. 216. The value obtained for the uncorrected formation energy is -33.1 kJ per mole of atoms.

Unit cell a=5.327 b=5.327 c=5.327 alpha=60.00 beta=60.00 gamma=60.00
Fractional positions:
1 Sb 0.000 0.000 0.000
2 Cd 0.750 0.750 0.750
3 Hg 0.500 0.500 0.500
4 Pm 0.250 0.250 0.250

=====

Entry from the Alexandria database: crystalline TlZn2Cl at its relaxed geometry (PBE).

Output
Its space-group type is I-42d, No. 122. The value obtained for the uncorrected formation energy is -4.2 kJ per mole of atoms.

Unit cell a=6.749 b=6.749 c=7.146 alpha=61.82 beta=61.82 gamma=90.00
Fractional positions:
1 Cl 0.250 0.750 0.500
2 Cl 0.500 0.500 0.000
3 Zn 0.875 0.865 0.750
4 Zn 0.375 0.385 0.750
5 Zn 0.615 0.125 0.250
6 Zn 0.135 0.625 0.250
7 Tl 0.750 0.250 0.500
8 Tl 0.000 0.000 0.000

=====

Entry from the Alexandria database: crystalline ZnGaAs2 at its relaxed geometry (PBE).

Output
For the formation energy, the calculation gives -14.7 kJ/mol of atoms. Its space-group type is I-42d, No. 122.

Unit cell a=5.757 b=5.757 c=6.960 alpha=65.57 beta=65.57 gamma=90.00
Fractional positions:
1 As 0.875 0.874 0.750
2 As 0.375 0.376 0.750
3 As 0.126 0.625 0.250
4 As 0.624 0.125 0.250
5 Zn 0.500 0.500 0.000
6 Zn 0.250 0.750 0.500
7 Ga 0.750 0.250 0.500
8 Ga 0.000 0.000 0.000

=====

Entry from the Alexandria database: crystalline PmPrTm2In4 at its relaxed geometry (PBE).

Output
For the formation energy, the calculation gives -44.0 kJ/mol of atoms. Its space-group type is R-3m, No. 166.

Unit cell a=5.368 b=5.368 c=9.321 alpha=73.26 beta=73.26 gamma=60.00
Fractional positions:
1 In 0.624 0.624 0.127
2 In 0.126 0.126 0.623
3 In 0.874 0.874 0.377
4 In 0.376 0.376 0.873
5 Pm 0.500 0.500 0.500
6 Tm 0.750 0.750 0.750
7 Tm 0.250 0.250 0.250
8 Pr 0.000 0.000 0.000

=====

Entry from the Alexandria database: crystalline Sr5ReH2N4 at its relaxed geometry (PBE).

Output
Its space-group type is Amm2, No. 38. For the total energy, the calculation gives -5.601 eV/atom.

Unit cell a=6.203 b=5.910 c=7.507 alpha=90.00 beta=90.00 gamma=121.65
Fractional positions:
1 N 0.599 0.000 0.191
2 N 0.081 0.694 0.000
3 N 0.387 0.306 0.000
4 N 0.599 0.000 0.809
5 Re 0.407 0.000 0.000
6 Sr 0.083 0.356 0.764
7 Sr 0.727 0.644 0.764
8 Sr 0.441 0.000 0.500
9 Sr 0.727 0.644 0.236
10 Sr 0.083 0.356 0.236
11 H 0.862 0.452 0.500
12 H 0.410 0.548 0.500

=====

Entry from the Alexandria database: crystalline CePmSiHg at its relaxed geometry (PBE).

Output
Its space-group type is F-43m, No. 216. The value obtained for the uncorrected formation energy is -38.7 kJ per mole of atoms.

Unit cell a=5.246 b=5.246 c=5.246 alpha=60.00 beta=60.00 gamma=60.00
Fractional positions:
1 Pm 0.000 0.000 0.000
2 Si 0.750 0.750 0.750
3 Hg 0.250 0.250 0.250
4 Ce 0.500 0.500 0.500

=====

no.,total magnetic moment (Bohr magnetons per cell)
1,15.23
2,0.00
3,0.00
4,0.00
5,0.00
6,0.00
7,0.00
8,0.98